Below is a relaxed structure of BeAlAu4, with properties calculated at the GGA-PBE level.

The structure in POSCAR format:
```
BeAlAu4
1.0
0.000 3.849 3.849
3.849 0.000 3.849
3.849 3.849 0.000
Be Al Au
1 1 4
direct
0.000 0.000 0.000
0.750 0.750 0.750
0.375 0.375 0.375
0.375 0.375 0.875
0.375 0.875 0.375
0.875 0.375 0.375
```

Total magnetic moment ... 0.0 μB/f.u.
Energy of formation from the pure elements ... 8.2 kcal/mol of atoms
DOS(E_F) ... 4.25 states/eV/f.u.
Energy above the most stable polymorph in this dataset ... 13.029 kcal/mol of atoms

Below is a relaxed structure of CaBe2AlAu5, with properties calculated at the GGA-PBE level.

The structure in POSCAR format:
```
CaBe2AlAu5
1.0
4.334 0.000 0.000
0.000 4.334 0.000
0.000 0.000 9.239
Ca Be Al Au
1 2 1 5
direct
0.000 0.000 0.000
0.500 0.500 0.243
0.500 0.500 0.757
0.000 0.000 0.500
0.000 0.500 0.333
0.000 0.500 0.667
0.500 0.000 0.333
0.500 0.000 0.667
0.500 0.500 0.000
```

Total magnetic moment ... 0.0 μB/f.u.
Energy of formation from the pure elements ... -6.3 kcal/mol of atoms
DOS(E_F) ... 3.06 states/eV/f.u.

Below is a relaxed structure of Ca2BeAl4Au3, with properties calculated at the GGA-PBE level.

The structure in POSCAR format:
```
Ca2BeAl4Au3
1.0
4.281 0.000 0.000
0.000 4.281 0.000
0.000 0.000 10.785
Ca Be Al Au
2 1 4 3
direct
0.000 0.500 0.241
0.500 0.000 0.759
0.500 0.500 0.000
0.000 0.000 0.500
0.000 0.500 0.875
0.500 0.000 0.125
0.500 0.500 0.500
0.000 0.000 0.000
0.000 0.500 0.638
0.500 0.000 0.362
```

Total magnetic moment ... 0.0 μB/f.u.
Energy of formation from the pure elements ... -11.4 kcal/mol of atoms
DOS(E_F) ... 3.90 states/eV/f.u.

Below is a relaxed structure of CaBeAlAu3, with properties calculated at the GGA-PBE level.

The structure in POSCAR format:
```
CaBeAlAu3
1.0
3.097 -5.933 0.000
3.097 5.933 0.000
0.000 0.000 6.567
Ca Be Al Au
2 2 2 6
direct
0.216 0.784 0.750
0.784 0.216 0.250
0.477 0.523 0.750
0.523 0.477 0.250
0.114 0.886 0.250
0.886 0.114 0.750
0.241 0.241 0.000
0.241 0.241 0.500
0.321 0.679 0.250
0.679 0.321 0.750
0.759 0.759 0.000
0.759 0.759 0.500
```

Total magnetic moment ... 0.0 μB/f.u.
Energy of formation from the pure elements ... -9.0 kcal/mol of atoms
DOS(E_F) ... 2.64 states/eV/f.u.

Below is a relaxed structure of CaBe2AlAu4, with properties calculated at the GGA-PBE level.

The structure in POSCAR format:
```
CaBe2AlAu4
1.0
2.090 1.207 9.408
-2.090 1.207 9.408
0.000 -2.414 9.408
Ca Be Al Au
1 2 1 4
direct
0.000 0.000 0.000
0.245 0.245 0.245
0.755 0.755 0.755
0.500 0.500 0.500
0.129 0.129 0.129
0.404 0.404 0.404
0.596 0.596 0.596
0.871 0.871 0.871
```

Total magnetic moment ... 0.0 μB/f.u.
Energy of formation from the pure elements ... -6.5 kcal/mol of atoms
DOS(E_F) ... 3.05 states/eV/f.u.

Below is a relaxed structure of CaBeAlAu6, with properties calculated at the GGA-PBE level.

The structure in POSCAR format:
```
CaBeAlAu6
1.0
-3.577 4.388 5.450
3.577 -4.388 5.450
3.577 4.388 -5.450
Ca Be Al Au
2 2 2 12
direct
0.468 0.218 0.250
0.532 0.782 0.750
0.000 0.000 0.000
0.500 0.000 0.500
0.000 0.000 0.500
0.000 0.500 0.000
0.134 0.410 0.294
0.134 0.840 0.723
0.172 0.922 0.250
0.233 0.483 0.750
0.383 0.160 0.794
0.383 0.590 0.223
0.617 0.410 0.777
0.617 0.840 0.206
0.767 0.517 0.250
0.828 0.078 0.750
0.866 0.160 0.277
0.866 0.590 0.706
```

Total magnetic moment ... 0.0 μB/f.u.
Energy of formation from the pure elements ... -6.8 kcal/mol of atoms
DOS(E_F) ... 2.30 states/eV/f.u.

Below is a relaxed structure of Be2AlCd2Au5, with properties calculated at the GGA-PBE level.

The structure in POSCAR format:
```
Be2AlCd2Au5
1.0
10.516 0.000 0.000
0.000 10.516 0.000
0.000 0.000 3.054
Be Al Cd Au
4 2 4 10
direct
0.129 0.371 0.000
0.371 0.871 0.000
0.629 0.129 0.000
0.871 0.629 0.000
0.000 0.000 0.000
0.500 0.500 0.000
0.168 0.668 0.000
0.332 0.168 0.000
0.668 0.832 0.000
0.832 0.332 0.000
0.000 0.500 0.500
0.084 0.198 0.500
0.198 0.916 0.500
0.302 0.416 0.500
0.416 0.698 0.500
0.500 0.000 0.500
0.584 0.302 0.500
0.698 0.584 0.500
0.802 0.084 0.500
0.916 0.802 0.500
```

Total magnetic moment ... 0.0 μB/f.u.
Energy of formation from the pure elements ... -3.6 kcal/mol of atoms
DOS(E_F) ... 2.57 states/eV/f.u.

Below is a relaxed structure of BeAlCd2Au6, with properties calculated at the GGA-PBE level.

The structure in POSCAR format:
```
BeAlCd2Au6
1.0
5.723 0.000 0.000
2.833 4.983 0.000
2.763 1.627 7.377
Be Al Cd Au
1 1 2 6
direct
0.000 0.000 0.000
0.500 0.500 0.500
0.281 0.288 0.144
0.719 0.712 0.856
0.245 0.739 0.774
0.246 0.239 0.771
0.255 0.759 0.230
0.745 0.241 0.770
0.754 0.761 0.229
0.755 0.261 0.226
```

Total magnetic moment ... 0.0 μB/f.u.
Energy of formation from the pure elements ... -1.8 kcal/mol of atoms
DOS(E_F) ... 2.03 states/eV/f.u.

Below is a relaxed structure of Ce2BeAl3Au4, with properties calculated at the GGA-PBE level.

The structure in POSCAR format:
```
Ce2BeAl3Au4
1.0
4.390 0.000 0.000
0.000 4.390 0.000
0.000 0.000 10.255
Ce Be Al Au
2 1 3 4
direct
0.000 0.500 0.242
0.500 0.000 0.758
0.500 0.500 0.000
0.000 0.000 0.000
0.000 0.500 0.636
0.500 0.000 0.364
0.000 0.000 0.500
0.000 0.500 0.879
0.500 0.000 0.121
0.500 0.500 0.500
```

Total magnetic moment ... 1.5 μB/f.u.
Energy of formation from the pure elements ... -13.6 kcal/mol of atoms
DOS(E_F) ... 14.20 states/eV/f.u.

Below is a relaxed structure of Ce2BeAl4Au3, with properties calculated at the GGA-PBE level.

The structure in POSCAR format:
```
Ce2BeAl4Au3
1.0
4.319 0.000 0.000
0.000 4.319 0.000
0.000 0.000 10.533
Ce Be Al Au
2 1 4 3
direct
0.000 0.500 0.239
0.500 0.000 0.761
0.500 0.500 0.000
0.000 0.000 0.500
0.000 0.500 0.875
0.500 0.000 0.125
0.500 0.500 0.500
0.000 0.000 0.000
0.000 0.500 0.636
0.500 0.000 0.364
```

Total magnetic moment ... 1.0 μB/f.u.
Energy of formation from the pure elements ... -13.0 kcal/mol of atoms
DOS(E_F) ... 11.83 states/eV/f.u.

Below is a relaxed structure of CeBeAlAu6, with properties calculated at the GGA-PBE level.

The structure in POSCAR format:
```
CeBeAlAu6
1.0
-3.633 4.373 5.474
3.633 -4.373 5.474
3.633 4.373 -5.474
Ce Be Al Au
2 2 2 12
direct
0.465 0.215 0.250
0.535 0.785 0.750
0.000 0.000 0.000
0.500 0.000 0.500
0.000 0.000 0.500
0.000 0.500 0.000
0.133 0.412 0.296
0.133 0.837 0.721
0.170 0.920 0.250
0.233 0.483 0.750
0.384 0.163 0.796
0.384 0.588 0.221
0.616 0.412 0.779
0.616 0.837 0.204
0.767 0.517 0.250
0.830 0.080 0.750
0.867 0.163 0.279
0.867 0.588 0.704
```

Total magnetic moment ... 0.9 μB/f.u.
Energy of formation from the pure elements ... -6.1 kcal/mol of atoms
DOS(E_F) ... 8.95 states/eV/f.u.

Below is a relaxed structure of CeBeAl2Au4, with properties calculated at the GGA-PBE level.

The structure in POSCAR format:
```
CeBeAl2Au4
1.0
2.193 1.266 8.839
-2.193 1.266 8.839
0.000 -2.533 8.839
Ce Be Al Au
1 1 2 4
direct
0.000 0.000 0.000
0.500 0.500 0.500
0.241 0.241 0.241
0.759 0.759 0.759
0.138 0.138 0.138
0.402 0.402 0.402
0.598 0.598 0.598
0.862 0.862 0.862
```

Total magnetic moment ... 0.8 μB/f.u.
Energy of formation from the pure elements ... -10.3 kcal/mol of atoms
DOS(E_F) ... 7.49 states/eV/f.u.

Below is a relaxed structure of BeAlCrAu, with properties calculated at the GGA-PBE level.

The structure in POSCAR format:
```
BeAlCrAu
1.0
0.000 3.025 3.025
3.025 0.000 3.025
3.025 3.025 0.000
Be Al Cr Au
1 1 1 1
direct
0.000 0.000 0.000
0.500 0.500 0.500
0.250 0.250 0.250
0.750 0.750 0.750
```

Total magnetic moment ... 3.4 μB/f.u.
Energy of formation from the pure elements ... -0.1 kcal/mol of atoms
DOS(E_F) ... 2.08 states/eV/f.u.

Below is a relaxed structure of BeAlCr2Au, with properties calculated at the GGA-PBE level.

The structure in POSCAR format:
```
BeAlCr2Au
1.0
4.356 0.000 0.000
0.000 4.356 0.000
0.000 0.000 4.119
Be Al Cr Au
1 1 2 1
direct
0.000 0.000 0.000
0.000 0.000 0.500
0.000 0.500 0.500
0.500 0.000 0.500
0.500 0.500 0.000
```

Total magnetic moment ... 0.0 μB/f.u.
Energy of formation from the pure elements ... 31.7 kcal/mol of atoms
DOS(E_F) ... 9.43 states/eV/f.u.

Below is a relaxed structure of Be2AlCu3Au3, with properties calculated at the GGA-PBE level.

The structure in POSCAR format:
```
Be2AlCu3Au3
1.0
6.976 0.000 0.000
-3.488 6.042 0.000
0.000 0.000 2.880
Be Al Cu Au
2 1 3 3
direct
0.333 0.667 0.000
0.667 0.333 0.000
0.000 0.000 0.500
0.000 0.302 0.000
0.302 0.000 0.000
0.698 0.698 0.000
0.000 0.623 0.500
0.377 0.377 0.500
0.623 0.000 0.500
```

Total magnetic moment ... 0.0 μB/f.u.
Energy of formation from the pure elements ... -2.7 kcal/mol of atoms
DOS(E_F) ... 3.04 states/eV/f.u.

Below is a relaxed structure of BeAl2Cu5Au2, with properties calculated at the GGA-PBE level.

The structure in POSCAR format:
```
BeAl2Cu5Au2
1.0
9.064 0.000 0.000
0.000 9.064 0.000
0.000 0.000 3.426
Be Al Cu Au
2 4 10 4
direct
0.000 0.000 0.000
0.500 0.500 0.000
0.140 0.360 0.000
0.360 0.860 0.000
0.640 0.140 0.000
0.860 0.640 0.000
0.000 0.500 0.500
0.016 0.191 0.500
0.191 0.984 0.500
0.309 0.484 0.500
0.484 0.691 0.500
0.500 0.000 0.500
0.516 0.309 0.500
0.691 0.516 0.500
0.809 0.016 0.500
0.984 0.809 0.500
0.166 0.666 0.000
0.334 0.166 0.000
0.666 0.834 0.000
0.834 0.334 0.000
```

Total magnetic moment ... 0.0 μB/f.u.
Energy of formation from the pure elements ... -0.3 kcal/mol of atoms
DOS(E_F) ... 2.15 states/eV/f.u.

Below is a relaxed structure of DyBeAl2Au5, with properties calculated at the GGA-PBE level.

The structure in POSCAR format:
```
DyBeAl2Au5
1.0
-2.218 2.975 6.571
2.218 -2.975 6.571
2.218 2.975 -6.571
Dy Be Al Au
1 1 2 5
direct
0.000 0.000 0.000
0.500 0.500 0.000
0.305 0.805 0.500
0.695 0.195 0.500
0.098 0.356 0.742
0.385 0.644 0.742
0.500 0.000 0.500
0.615 0.356 0.258
0.902 0.644 0.258
```

Total magnetic moment ... 0.0 μB/f.u.
Energy of formation from the pure elements ... -8.0 kcal/mol of atoms
DOS(E_F) ... 4.20 states/eV/f.u.

Below is a relaxed structure of DyBeAl2Au4, with properties calculated at the GGA-PBE level.

The structure in POSCAR format:
```
DyBeAl2Au4
1.0
2.179 1.258 8.688
-2.179 1.258 8.688
0.000 -2.517 8.688
Dy Be Al Au
1 1 2 4
direct
0.000 0.000 0.000
0.500 0.500 0.500
0.243 0.243 0.243
0.757 0.757 0.757
0.138 0.138 0.138
0.400 0.400 0.400
0.600 0.600 0.600
0.862 0.862 0.862
```

Total magnetic moment ... 0.0 μB/f.u.
Energy of formation from the pure elements ... -11.1 kcal/mol of atoms
DOS(E_F) ... 2.06 states/eV/f.u.

Below is a relaxed structure of Dy2Be3AlAu4, with properties calculated at the GGA-PBE level.

The structure in POSCAR format:
```
Dy2Be3AlAu4
1.0
4.282 0.000 0.000
0.000 4.282 0.000
0.000 0.000 9.481
Dy Be Al Au
2 3 1 4
direct
0.000 0.500 0.248
0.500 0.000 0.752
0.000 0.500 0.886
0.500 0.000 0.114
0.500 0.500 0.500
0.000 0.000 0.500
0.000 0.000 0.000
0.000 0.500 0.642
0.500 0.000 0.358
0.500 0.500 0.000
```

Total magnetic moment ... 0.0 μB/f.u.
Energy of formation from the pure elements ... -12.0 kcal/mol of atoms
DOS(E_F) ... 3.20 states/eV/f.u.

Below is a relaxed structure of Er2Be3AlAu4, with properties calculated at the GGA-PBE level.

The structure in POSCAR format:
```
Er2Be3AlAu4
1.0
4.260 0.000 0.000
0.000 4.260 0.000
0.000 0.000 9.481
Er Be Al Au
2 3 1 4
direct
0.000 0.500 0.248
0.500 0.000 0.752
0.000 0.500 0.886
0.500 0.000 0.114
0.500 0.500 0.500
0.000 0.000 0.500
0.000 0.000 0.000
0.000 0.500 0.643
0.500 0.000 0.357
0.500 0.500 0.000
```

Total magnetic moment ... 0.0 μB/f.u.
Energy of formation from the pure elements ... -11.8 kcal/mol of atoms
DOS(E_F) ... 3.11 states/eV/f.u.